BaYRh2 | GGA-PBE | optimized geometry

POSCAR file:
```
BaYRh2
1.0
5.715 0.025 -0.002
4.740 3.193 -0.002
1.030 0.317 5.256
Rh Y Ba
2 1 1
direct
0.967 0.967 0.014 Rh
0.269 0.269 0.288 Rh
0.529 0.529 0.397 Y
0.735 0.735 0.801 Ba
```

Results
raw total energy: -0.21617 Ha/atom
ρ: 7.5 Mg/m³
SG: No. 8


Ti2BH | GGA-PBE | optimized geometry

POSCAR file:
```
Ti2BH
1.0
-0.904 1.598 2.650
-2.881 -0.577 1.326
0.657 -3.047 4.022
H B Ti
1 1 2
direct
0.000 0.000 0.000 H
0.500 0.500 0.500 B
0.249 0.249 0.253 Ti
0.751 0.751 0.747 Ti
```

Results
raw total energy: -0.25400 Ha/atom
ρ: 4.2 Mg/m³
SG: No. 166


AcP2RhO8 | GGA-PBE | optimized geometry

POSCAR file:
```
AcP2RhO8
1.0
4.870 0.000 0.000
2.435 4.217 0.000
2.435 1.406 7.410
O Rh P Ac
8 1 2 1
direct
0.094 0.731 0.686 O
0.906 0.512 0.314 O
0.512 0.269 0.314 O
0.731 0.488 0.686 O
0.488 0.094 0.686 O
0.682 0.682 0.953 O
0.269 0.906 0.314 O
0.318 0.318 0.047 O
0.500 0.500 0.500 Rh
0.753 0.753 0.742 P
0.247 0.247 0.258 P
0.000 0.000 0.000 Ac
```

Results
raw total energy: -0.26641 Ha/atom
ρ: 5.7 Mg/m³
SG: No. 155
raw formation energy: -48.1 kcal/mol of atoms


As2PtPbBr | GGA-PBE | optimized geometry

POSCAR file:
```
As2PtPbBr
1.0
-4.353 -2.307 0.065
1.922 -3.701 -2.623
1.392 -2.497 4.543
As Pb Pt Br
2 1 1 1
direct
0.000 0.500 0.000 As
0.500 0.000 0.000 As
0.500 0.500 0.500 Pb
0.000 0.000 0.000 Pt
0.000 0.000 0.500 Br
```

Results
raw total energy: -0.14290 Ha/atom
ρ: 8.1 Mg/m³
SG: No. 123
raw formation energy: 5.9 kcal/mol of atoms


TiSb4 | GGA-PBE | optimized geometry

POSCAR file:
```
TiSb4
1.0
5.277 0.000 0.000
0.000 5.277 0.000
0.000 0.000 5.277
Sb Ti
4 1
direct
0.000 0.000 0.000 Sb
0.500 0.500 0.000 Sb
0.500 0.000 0.500 Sb
0.000 0.500 0.500 Sb
0.500 0.500 0.500 Ti
```

Results
raw total energy: -0.16858 Ha/atom
ρ: 6.0 Mg/m³
SG: No. 221
raw formation energy: 6.7 kcal/mol of atoms


TeH2I6 | GGA-PBE | optimized geometry

POSCAR file:
```
TeH2I6
1.0
7.277 -0.278 -0.680
-0.952 10.479 0.574
-0.393 0.840 10.497
I H Te
12 4 2
direct
0.610 0.721 0.538 I
0.139 0.876 0.345 I
0.879 0.814 0.962 I
0.379 0.962 0.814 I
0.621 0.038 0.186 I
0.390 0.279 0.462 I
0.890 0.462 0.279 I
0.361 0.655 0.124 I
0.121 0.186 0.038 I
0.110 0.538 0.721 I
0.861 0.124 0.655 I
0.639 0.345 0.876 I
0.707 0.390 0.348 H
0.293 0.610 0.652 H
0.793 0.652 0.610 H
0.207 0.348 0.390 H
0.250 0.904 0.096 Te
0.750 0.096 0.904 Te
```

Results
raw total energy: -0.07973 Ha/atom
ρ: 3.7 Mg/m³
SG: No. 15


Na2Tb | GGA-PBE | optimized geometry

POSCAR file:
```
Na2Tb
1.0
6.493 0.000 0.000
3.247 5.624 0.000
3.247 1.875 5.302
Tb Na
2 4
direct
0.000 0.000 0.000 Tb
0.250 0.250 0.250 Tb
0.125 0.625 0.625 Na
0.625 0.125 0.625 Na
0.625 0.625 0.625 Na
0.625 0.625 0.125 Na
```

Results
raw total energy: -0.07698 Ha/atom
ρ: 3.5 Mg/m³
SG: No. 227


CeCu2H8Ir | GGA-PBE | optimized geometry

POSCAR file:
```
CeCu2H8Ir
1.0
4.631 0.030 0.000
-0.025 4.244 1.761
0.141 2.256 6.460
H Cu Ir Ce
8 2 1 1
direct
0.500 0.776 0.501 H
0.766 0.644 0.088 H
0.760 0.169 0.093 H
0.234 0.356 0.912 H
0.500 0.224 0.499 H
0.121 0.688 0.311 H
0.240 0.831 0.907 H
0.879 0.312 0.689 H
0.498 0.268 0.736 Cu
0.502 0.732 0.264 Cu
0.000 0.000 0.000 Ir
0.000 0.000 0.500 Ce
```

Results
raw total energy: -0.16037 Ha/atom
ρ: 7.1 Mg/m³
SG: No. 2


Pm3TiTl3S8 | GGA-PBE | optimized geometry

POSCAR file:
```
Pm3TiTl3S8
1.0
-7.179 0.875 3.442
5.832 -3.921 3.842
0.798 8.806 -0.574
Tl S Pm Ti
3 8 3 1
direct
0.000 0.500 0.000 Tl
0.000 0.000 0.000 Tl
0.500 0.500 0.000 Tl
0.235 0.023 0.311 S
0.212 0.977 0.689 S
0.212 0.423 0.689 S
0.765 0.977 0.689 S
0.788 0.023 0.311 S
0.788 0.577 0.311 S
0.265 0.529 0.294 S
0.735 0.471 0.706 S
0.500 0.500 0.500 Pm
0.000 0.500 0.500 Pm
0.500 0.000 0.500 Pm
0.000 0.000 0.500 Ti
```

Results
raw total energy: -0.20373 Ha/atom
ρ: 5.3 Mg/m³
SG: No. 166
raw formation energy: -32.1 kcal/mol of atoms


MnB3Pb | GGA-PBE | optimized geometry

POSCAR file:
```
MnB3Pb
1.0
-3.604 1.309 1.204
-1.350 -0.244 -3.777
-1.157 -3.792 0.658
Pb B Mn
1 3 1
direct
0.500 0.500 0.500 Pb
0.000 0.000 0.500 B
0.000 0.500 0.000 B
0.500 0.000 0.000 B
0.000 0.000 0.000 Mn
```

Results
raw total energy: -0.20869 Ha/atom
ρ: 7.5 Mg/m³
SG: No. 221


Co2SiCl | GGA-PBE | optimized geometry

POSCAR file:
```
Co2SiCl
1.0
-1.741 -2.185 -1.121
1.951 -2.065 0.996
-3.711 -0.374 6.495
Cl Co Si
1 2 1
direct
0.500 0.500 0.860 Cl
0.500 0.500 0.262 Co
0.000 0.000 0.027 Co
0.000 0.000 0.351 Si
```

Results
raw total energy: -0.19255 Ha/atom
ρ: 4.4 Mg/m³
SG: No. 99
raw formation energy: 3.0 kcal/mol of atoms


TiOsSe | GGA-PBE | optimized geometry

POSCAR file:
```
TiOsSe
1.0
3.194 0.000 0.000
-1.597 3.686 0.000
0.000 0.000 8.761
Os Se Ti
2 2 2
direct
0.296 0.591 0.841 Os
0.296 0.591 0.159 Os
0.601 0.202 0.685 Se
0.601 0.202 0.315 Se
0.596 0.191 0.000 Ti
0.277 0.555 0.500 Ti
```

Results
raw total energy: -0.28011 Ha/atom
ρ: 10.2 Mg/m³
SG: No. 38
raw formation energy: -2.0 kcal/mol of atoms


Copy entry 5 word for word.
TiSb4 | GGA-PBE | optimized geometry

POSCAR file:
```
TiSb4
1.0
5.277 0.000 0.000
0.000 5.277 0.000
0.000 0.000 5.277
Sb Ti
4 1
direct
0.000 0.000 0.000 Sb
0.500 0.500 0.000 Sb
0.500 0.000 0.500 Sb
0.000 0.500 0.500 Sb
0.500 0.500 0.500 Ti
```

Results
raw total energy: -0.16858 Ha/atom
ρ: 6.0 Mg/m³
SG: No. 221
raw formation energy: 6.7 kcal/mol of atoms